Rb2Mg2Sn after structural relaxation, computed with PBE.

```
Rb2Mg2Sn
1.0
4.160 0.000 0.000
0.000 4.160 0.000
0.000 0.000 24.585
Rb Mg Sn
4 4 2
direct
0.000 0.000 0.101
0.000 0.000 0.899
0.500 0.500 0.399
0.500 0.500 0.601
0.000 0.500 0.250
0.000 0.500 0.750
0.500 0.000 0.250
0.500 0.000 0.750
0.000 0.000 0.500
0.500 0.500 0.000
```

Computed properties:
Magnetic moment in μB per cell: 0.95
E above lowest polymorph in eV/atom: 0.000
D(E_F) in states/eV/cell: 8.95
VASP energy in eV per atom: -1.6043
Calculated formation energy in eV/atom: 0.221

RbMg2Sn2 after structural relaxation, computed with PBE.

```
RbMg2Sn2
1.0
9.280 0.000 0.000
0.000 9.280 0.000
0.000 0.000 3.230
Rb Mg Sn
2 4 4
direct
0.000 0.000 0.000
0.500 0.500 0.000
0.129 0.371 0.000
0.371 0.871 0.000
0.629 0.129 0.000
0.871 0.629 0.000
0.160 0.660 0.500
0.340 0.160 0.500
0.660 0.840 0.500
0.840 0.340 0.500
```

Computed properties:
Magnetic moment in μB per cell: 0.00
E above lowest polymorph in eV/atom: 0.072
D(E_F) in states/eV/cell: 3.63
VASP energy in eV per atom: -2.5757
Calculated formation energy in eV/atom: -0.143

RbMgSn3 after structural relaxation, computed with PBE.

```
RbMgSn3
1.0
7.305 0.000 0.000
-3.652 6.326 0.000
0.000 0.000 6.987
Rb Mg Sn
2 2 6
direct
0.333 0.667 0.250
0.667 0.333 0.750
0.000 0.000 0.000
0.000 0.000 0.500
0.200 0.400 0.750
0.200 0.800 0.750
0.400 0.200 0.250
0.600 0.800 0.750
0.800 0.200 0.250
0.800 0.600 0.250
```

Computed properties:
Magnetic moment in μB per cell: 0.00
E above lowest polymorph in eV/atom: 0.049
D(E_F) in states/eV/cell: 4.33
VASP energy in eV per atom: -2.9587
Calculated formation energy in eV/atom: -0.045

RbMgSn3 after structural relaxation, computed with PBE.

```
RbMgSn3
1.0
5.590 0.000 0.000
0.000 5.590 0.000
0.000 0.000 5.590
Rb Mg Sn
1 1 3
direct
0.000 0.000 0.000
0.500 0.500 0.500
0.000 0.500 0.500
0.500 0.000 0.500
0.500 0.500 0.000
```

Computed properties:
Magnetic moment in μB per cell: 0.00
E above lowest polymorph in eV/atom: 0.264
D(E_F) in states/eV/cell: 2.90
VASP energy in eV per atom: -2.7445
Calculated formation energy in eV/atom: 0.170

Rb2Mg12Sn7 after structural relaxation, computed with PBE.

```
Rb2Mg12Sn7
1.0
11.925 0.000 0.000
-5.963 10.327 0.000
0.000 0.000 4.639
Rb Mg Sn
2 12 7
direct
0.333 0.667 0.255
0.667 0.333 0.745
0.057 0.432 0.750
0.118 0.261 0.253
0.143 0.882 0.253
0.261 0.143 0.747
0.375 0.943 0.750
0.432 0.375 0.250
0.568 0.625 0.750
0.625 0.057 0.250
0.739 0.857 0.253
0.857 0.118 0.747
0.882 0.739 0.747
0.943 0.568 0.250
0.000 0.000 0.500
0.111 0.704 0.754
0.296 0.407 0.754
0.407 0.111 0.246
0.593 0.889 0.754
0.704 0.593 0.246
0.889 0.296 0.246
```

Computed properties:
Magnetic moment in μB per cell: 0.00
D(E_F) in states/eV/cell: 6.80
VASP energy in eV per atom: -2.5409
Calculated formation energy in eV/atom: -0.203

RbMgSn2 after structural relaxation, computed with PBE.

```
RbMgSn2
1.0
6.834 0.000 0.000
0.000 4.962 0.000
-1.941 0.000 8.446
Rb Mg Sn
2 2 4
direct
0.223 0.250 0.408
0.777 0.750 0.592
0.361 0.250 0.934
0.639 0.750 0.066
0.150 0.750 0.047
0.324 0.750 0.755
0.676 0.250 0.245
0.850 0.250 0.953
```

Computed properties:
Magnetic moment in μB per cell: 0.00
D(E_F) in states/eV/cell: 5.10
VASP energy in eV per atom: -2.7730
Calculated formation energy in eV/atom: -0.131

RbMg4Sn3 after structural relaxation, computed with PBE.

```
RbMg4Sn3
1.0
4.958 0.000 0.000
0.000 4.958 0.000
0.000 0.000 9.459
Rb Mg Sn
1 4 3
direct
0.000 0.000 0.000
0.000 0.500 0.319
0.000 0.500 0.681
0.500 0.000 0.319
0.500 0.000 0.681
0.000 0.000 0.500
0.500 0.500 0.152
0.500 0.500 0.848
```

Computed properties:
Magnetic moment in μB per cell: 0.00
D(E_F) in states/eV/cell: 2.49
VASP energy in eV per atom: -2.6239
Calculated formation energy in eV/atom: -0.205

Rb2Mg2Sn after structural relaxation, computed with PBE.

```
Rb2Mg2Sn
1.0
10.979 0.000 0.000
0.000 10.979 0.000
0.000 0.000 3.425
Rb Mg Sn
4 4 2
direct
0.192 0.308 0.000
0.308 0.808 0.000
0.692 0.192 0.000
0.808 0.692 0.000
0.100 0.600 0.500
0.400 0.100 0.500
0.600 0.900 0.500
0.900 0.400 0.500
0.000 0.000 0.000
0.500 0.500 0.000
```

Computed properties:
Magnetic moment in μB per cell: 0.00
E above lowest polymorph in eV/atom: 0.181
D(E_F) in states/eV/cell: 9.48
VASP energy in eV per atom: -1.4236
Calculated formation energy in eV/atom: 0.402